Compound: HfHgPd4
Source: Alexandria via LeMat-Bulk
Functional: PBE
Structure: relaxed

Values from the calculation:
Formation energy: -0.315 eV per atom
Crystal system: tetragonal
DOS(E_F): 0.256 states/eV per atom

Geometry as extended XYZ:
```
6
Lattice="3.9089 0.0000 0.0000 0.0000 3.9089 0.0000 0.0000 0.0000 7.8140" Properties=species:S:1:pos:R:3 pbc="T T T"
Hf 0.0000 0.0000 0.0000
Hg 1.9544 1.9544 3.9070
Pd 0.0000 1.9544 1.8376
Pd 0.0000 1.9544 5.9764
Pd 1.9544 0.0000 1.8376
Pd 1.9544 0.0000 5.9764
```

***

Compound: Hf2Hg2Pd
Source: Alexandria via LeMat-Bulk
Functional: PBE
Structure: relaxed

Values from the calculation:
Formation energy: 0.240 eV per atom
Crystal system: tetragonal
DOS(E_F): 1.321 states/eV per atom

Geometry as extended XYZ:
```
10
Lattice="7.9743 0.0000 0.0000 0.0000 7.9743 0.0000 0.0000 0.0000 3.4142" Properties=species:S:1:pos:R:3 pbc="T T T"
Hf 1.3218 2.6654 0.0000
Hf 2.6654 6.6526 0.0000
Hf 5.3089 1.3218 0.0000
Hf 6.6526 5.3089 0.0000
Hg 1.0874 5.0746 1.7071
Hg 2.8997 1.0874 1.7071
Hg 5.0746 6.8869 1.7071
Hg 6.8869 2.8997 1.7071
Pd 0.0000 0.0000 0.0000
Pd 3.9872 3.9872 0.0000
```

***

Compound: Hf2HgPd8
Source: Alexandria via LeMat-Bulk
Functional: PBE
Structure: relaxed

Values from the calculation:
Formation energy: -0.560 eV per atom
Crystal system: monoclinic
DOS(E_F): 0.390 states/eV per atom

Geometry as extended XYZ:
```
11
Lattice="7.2425 -2.0205 0.0000 7.2425 2.0205 0.0000 -1.8776 0.0000 6.3192" Properties=species:S:1:pos:R:3 pbc="T T T"
Hf 2.8505 0.0000 1.0546
Hf 9.7568 0.0000 5.2646
Hg 6.3036 0.0000 3.1596
Pd 0.2012 0.0000 1.4002
Pd 0.8229 0.0000 4.4806
Pd 3.5523 0.0000 3.7182
Pd 5.7494 0.0000 0.2555
Pd 6.8578 0.0000 6.0637
Pd 9.0549 0.0000 2.6010
Pd 11.7844 0.0000 1.8386
Pd 12.4061 0.0000 4.9190
```

***

Compound: Hf2HgPd
Source: Alexandria via LeMat-Bulk
Functional: PBE
Structure: relaxed

Values from the calculation:
Formation energy: -0.279 eV per atom
Crystal system: tetragonal
DOS(E_F): 1.046 states/eV per atom

Geometry as extended XYZ:
```
4
Lattice="4.3919 0.0000 0.0000 0.0000 4.3919 0.0000 0.0000 0.0000 4.0492" Properties=species:S:1:pos:R:3 pbc="T T T"
Hf 0.0000 2.1960 0.0000
Hf 2.1960 0.0000 0.0000
Hg 0.0000 0.0000 2.0246
Pd 2.1960 2.1960 2.0246
```

***

Compound: HfHgPd2
Source: Alexandria via LeMat-Bulk
Functional: PBE
Structure: relaxed

Values from the calculation:
Formation energy: -0.531 eV per atom
Crystal system: orthorhombic
DOS(E_F): 0.502 states/eV per atom

Geometry as extended XYZ:
```
8
Lattice="4.8588 0.0000 0.0000 0.0000 5.8799 0.0000 0.0000 0.0000 4.9323" Properties=species:S:1:pos:R:3 pbc="T T T"
Hf 1.2147 1.4700 0.8922
Hf 3.6441 4.4099 4.0400
Hg 1.2147 4.4099 0.8810
Hg 3.6441 1.4700 4.0513
Pd 1.2147 2.9489 3.3359
Pd 1.2147 5.8709 3.3359
Pd 3.6441 0.0090 1.5964
Pd 3.6441 2.9310 1.5964
```

***

Compound: PuHfHgPd
Source: Alexandria via LeMat-Bulk
Functional: PBE
Structure: relaxed

Values from the calculation:
Formation energy: -0.298 eV per atom
Crystal system: tetragonal
DOS(E_F): 2.017 states/eV per atom

Geometry as extended XYZ:
```
4
Lattice="3.2793 0.0000 0.0000 0.0000 3.2793 0.0000 0.0000 0.0000 8.0479" Properties=species:S:1:pos:R:3 pbc="T T T"
Pu 0.0000 0.0000 0.0000
Hf 0.0000 0.0000 3.6806
Hg 1.6397 1.6397 5.7044
Pd 1.6397 1.6397 2.1591
```

***

Compound: Rb2HfHgPd
Source: Alexandria via LeMat-Bulk
Functional: PBE
Structure: relaxed

Values from the calculation:
Formation energy: 1.038 eV per atom
Crystal system: tetragonal
DOS(E_F): 0.923 states/eV per atom

Geometry as extended XYZ:
```
5
Lattice="6.3907 0.0000 0.0000 0.0000 6.3907 0.0000 0.0000 0.0000 5.4593" Properties=species:S:1:pos:R:3 pbc="T T T"
Rb 0.0000 3.1953 0.0000
Rb 3.1953 0.0000 0.0000
Hf 0.0000 0.0000 2.7296
Hg 0.0000 0.0000 0.0000
Pd 3.1953 3.1953 2.7296
```

***

Compound: HfTa2HgPd
Source: Alexandria via LeMat-Bulk
Functional: PBE
Structure: relaxed

Values from the calculation:
Formation energy: 1.699 eV per atom
Crystal system: tetragonal
DOS(E_F): 1.814 states/eV per atom

Geometry as extended XYZ:
```
5
Lattice="5.0089 0.0000 0.0000 0.0000 5.0089 0.0000 0.0000 0.0000 4.8782" Properties=species:S:1:pos:R:3 pbc="T T T"
Hf 0.0000 0.0000 0.0000
Ta 0.0000 2.5044 2.4391
Ta 2.5044 0.0000 2.4391
Hg 2.5044 2.5044 2.4391
Pd 2.5044 2.5044 0.0000
```

***

Question: Which of these has the lowest formation energy?
Answer: Hf2HgPd8

***

Question: Which formula does entry 4 have?
Answer: Hf2HgPd

***

What did the fourth record say?
Compound: Hf2HgPd
Source: Alexandria via LeMat-Bulk
Functional: PBE
Structure: relaxed

Values from the calculation:
Formation energy: -0.279 eV per atom
Crystal system: tetragonal
DOS(E_F): 1.046 states/eV per atom

Geometry as extended XYZ:
```
4
Lattice="4.3919 0.0000 0.0000 0.0000 4.3919 0.0000 0.0000 0.0000 4.0492" Properties=species:S:1:pos:R:3 pbc="T T T"
Hf 0.0000 2.1960 0.0000
Hf 2.1960 0.0000 0.0000
Hg 0.0000 0.0000 2.0246
Pd 2.1960 2.1960 2.0246
```

***

Question: What is the formation energy in the third record?
Answer: -0.560 eV per atom